DFT (GGA-PBE) results for a relaxed structure of ScCd2Pt2.

Summary:
Calculated total energy, eV/atom: -4.46
Formation energy from the elements, eV/atom: -0.41
Relative energy among the computed polymorphs, kJ/mol of formula units: 73
Total moment, μB/cell: 0.7

Cell lengths 7.954, 7.954, 2.998 Å; angles 90.00, 90.00, 90.00 degrees
Atoms (fractional coordinates):
Pt 0.676 0.824 0.500
Pt 0.824 0.324 0.500
Pt 0.176 0.676 0.500
Pt 0.324 0.176 0.500
Cd 0.124 0.376 0.000
Cd 0.876 0.624 0.000
Cd 0.376 0.876 0.000
Cd 0.624 0.124 0.000
Sc 0.000 0.000 0.000
Sc 0.500 0.500 0.000